# AgOs2O4

A geometry-optimized AgOs2O4 structure (PBE, OQMD via LeMat-Bulk).

Output
* calculated total energy: -6.7815 eV per atom
* space group: Fd-3m
* V: 12.81 A^3/atom

```
14
Lattice="0.000 4.476 4.476 4.476 0.000 4.476 4.476 4.476 0.000" Properties=species:S:1:pos:R:3 pbc="T T T"
Ag 1.119 1.119 1.119
Ag 7.833 7.833 7.833
Os 4.476 2.238 2.238
Os 2.238 4.476 2.238
Os 2.238 2.238 4.476
Os 4.476 4.476 4.476
O 2.429 2.429 2.429
O 4.284 4.284 2.429
O 4.284 2.429 4.284
O 6.522 4.667 4.667
O 2.429 4.284 4.284
O 4.667 6.522 4.667
O 4.667 4.667 6.522
O 6.522 6.522 6.522
```